## Zr4Ta2Ge3N3 (GGA-PBE)

Data for a relaxed Zr4Ta2Ge3N3 crystal.

Its magnetic moment is 0.0 Bohr magnetons per cell. The value obtained for the volume is 15.29 Å³/atom. As for the space group: No. 15. The value obtained for the uncorrected energy is -9.030 eV/atom.

a b c (Å): 5.6908 5.6908 13.4924
angles (deg): 102.25 102.25 60.01
Closest atoms and distances in Å follow each position.
Sites, in units of the cell vectors:
1 Ta 0.5279 0.3589 0.0824  3 N 2.17-2.19
2 Zr 0.9662 0.8021 0.4025  3 N 2.28-2.29
3 Ta 0.6411 0.4721 0.4176  3 N 2.17-2.19
4 Zr 0.6991 0.8672 0.5974  3 N 2.28-2.29
5 N 0.6674 0.1654 0.5000  2 Ta 2.19, 4 Zr 2.28-2.29
6 Ge 0.7121 0.5840 0.7499  2 Ta 2.77, 4 Zr 2.83-2.84, 2 Ge 2.92-2.93
7 Zr 0.3009 0.1328 0.4026  3 N 2.28-2.29
8 N 0.0000 0.5000 0.5000  2 Ta 2.17, 4 Zr 2.29
9 N 0.3326 0.8346 0.5000  2 Ta 2.19, 4 Zr 2.28-2.29
10 Zr 0.8021 0.9662 0.9025  3 N 2.28-2.29
11 Zr 0.8672 0.6991 0.0974  3 N 2.28-2.29
12 Zr 0.0338 0.1979 0.5975  3 N 2.28-2.29
13 Ta 0.3589 0.5279 0.5824  3 N 2.17-2.19
14 N 0.5000 0.0000 0.0000  2 Ta 2.17, 4 Zr 2.29
15 Ge 0.4160 0.2879 0.7501  2 Ta 2.77, 4 Zr 2.83-2.84, 2 Ge 2.92-2.93
16 Ge 0.8823 0.1177 0.2500  2 Ta 2.77, 4 Zr 2.82-2.83, 2 Ge 2.93
17 N 0.1654 0.6674 0.0000  2 Ta 2.19, 4 Zr 2.28-2.29
18 N 0.8346 0.3326 0.0000  2 Ta 2.19, 4 Zr 2.28-2.29
19 Ta 0.4721 0.6411 0.9176  3 N 2.17-2.19
20 Ge 0.2879 0.4160 0.2501  2 Ta 2.77, 4 Zr 2.83-2.84, 2 Ge 2.92-2.93
21 Ge 0.5840 0.7121 0.2499  2 Ta 2.77, 4 Zr 2.83-2.84, 2 Ge 2.92-2.93
22 Zr 0.1328 0.3009 0.9026  3 N 2.28-2.29
23 Ge 0.1177 0.8823 0.7500  2 Ta 2.77, 4 Zr 2.82-2.83, 2 Ge 2.93
24 Zr 0.1979 0.0338 0.0975  3 N 2.28-2.29